# LaSm3Y8

A relaxed LaSm3Y8 crystal (PBE, the Alexandria database).

Cell and atoms, written as CIF:
```
data_LaSm3Y8
_space_group_name_H-M_alt 'P 1'
_space_group_IT_number 1
_cell_length_a 8.4175
_cell_length_b 8.4175
_cell_length_c 8.4175
_cell_angle_alpha 117.42
_cell_angle_beta 117.42
_cell_angle_gamma 94.52
loop_
_space_group_symop_operation_xyz
'x,y,z'
loop_
_atom_site_label
_atom_site_type_symbol
_atom_site_fract_x
_atom_site_fract_y
_atom_site_fract_z
La1 La 0.0000 0.0000 0.0000
Sm1 Sm 0.2500 0.7500 0.5000
Sm2 Sm 0.5000 0.5000 0.0000
Sm3 Sm 0.7500 0.2500 0.5000
Y1 Y 0.1259 0.1259 0.7491
Y2 Y 0.2488 0.7475 0.0000
Y3 Y 0.2525 0.2525 0.5013
Y4 Y 0.3768 0.3768 0.2509
Y5 Y 0.6232 0.8741 0.0000
Y6 Y 0.7475 0.2488 0.0000
Y7 Y 0.7512 0.7512 0.4987
Y8 Y 0.8741 0.6232 0.0000
```

Properties
The calculated volume comes out at 36.39 Å³/atom. Its density of states at the Fermi level is 19.25 states/eV/cell. As for the space group: I-42m. As for the total energy: -63.136 eV per cell.


# La4Sm6Y

A relaxed La4Sm6Y crystal (PBE, the Alexandria database).

Cell and atoms, written as CIF:
```
data_La4Sm6Y
_space_group_name_H-M_alt 'P 1'
_space_group_IT_number 1
_cell_length_a 8.7111
_cell_length_b 8.7111
_cell_length_c 8.7111
_cell_angle_alpha 127.56
_cell_angle_beta 127.56
_cell_angle_gamma 77.34
loop_
_space_group_symop_operation_xyz
'x,y,z'
loop_
_atom_site_label
_atom_site_type_symbol
_atom_site_fract_x
_atom_site_fract_y
_atom_site_fract_z
La1 La 0.2446 0.2446 0.6452
La2 La 0.4006 0.7554 0.0000
La3 La 0.5994 0.5994 0.3548
La4 La 0.7554 0.4006 0.0000
Sm1 Sm 0.0000 0.5000 0.5000
Sm2 Sm 0.0416 0.5852 0.0000
Sm3 Sm 0.4148 0.4148 0.4564
Sm4 Sm 0.5000 0.0000 0.5000
Sm5 Sm 0.5852 0.0416 0.0000
Sm6 Sm 0.9584 0.9584 0.5436
Y1 Y 0.0000 0.0000 0.0000
```

Properties
The calculation puts the polymorph energy (0 for the lowest one) at 1.16 eV/f.u. The calculated volume comes out at 36.63 Å³/atom. Its density of states at the Fermi level is 15.10 states/eV/cell. As for the space group: I-42m. As for the total energy: -50.299 eV per cell.


# La2Sm8Y

A relaxed La2Sm8Y crystal (PBE, the Alexandria database).

Cell and atoms, written as CIF:
```
data_La2Sm8Y
_space_group_name_H-M_alt 'P 1'
_space_group_IT_number 1
_cell_length_a 9.0643
_cell_length_b 9.0643
_cell_length_c 6.8301
_cell_angle_alpha 99.82
_cell_angle_beta 99.82
_cell_angle_gamma 44.22
loop_
_space_group_symop_operation_xyz
'x,y,z'
loop_
_atom_site_label
_atom_site_type_symbol
_atom_site_fract_x
_atom_site_fract_y
_atom_site_fract_z
La1 La 0.1986 0.1986 0.3036
La2 La 0.8014 0.8014 0.6964
Sm1 Sm 0.1753 0.6488 0.0938
Sm2 Sm 0.2433 0.2433 0.8098
Sm3 Sm 0.3512 0.8247 0.9062
Sm4 Sm 0.4119 0.4119 0.5903
Sm5 Sm 0.5881 0.5881 0.4097
Sm6 Sm 0.6488 0.1753 0.0938
Sm7 Sm 0.7567 0.7567 0.1902
Sm8 Sm 0.8247 0.3512 0.9062
Y1 Y 0.0000 0.0000 0.5000
```

Properties
The calculation puts the polymorph energy (0 for the lowest one) at 1.38 eV/f.u. The calculated volume comes out at 34.97 Å³/atom. Its density of states at the Fermi level is 17.70 states/eV/cell. As for the space group: C2/m. As for the total energy: -52.474 eV per cell.


# La2Sm5Y5

A relaxed La2Sm5Y5 crystal (PBE, the Alexandria database).

Cell and atoms, written as CIF:
```
data_La2Sm5Y5
_space_group_name_H-M_alt 'P 1'
_space_group_IT_number 1
_cell_length_a 8.1012
_cell_length_b 8.1012
_cell_length_c 11.4853
_cell_angle_alpha 115.12
_cell_angle_beta 115.12
_cell_angle_gamma 36.90
loop_
_space_group_symop_operation_xyz
'x,y,z'
loop_
_atom_site_label
_atom_site_type_symbol
_atom_site_fract_x
_atom_site_fract_y
_atom_site_fract_z
La1 La 0.1657 0.1657 0.0005
La2 La 0.8343 0.8343 0.9995
Sm1 Sm 0.0000 0.0000 0.5000
Sm2 Sm 0.0842 0.0842 0.2538
Sm3 Sm 0.2494 0.2494 0.7468
Sm4 Sm 0.7506 0.7506 0.2532
Sm5 Sm 0.9158 0.9158 0.7462
Y1 Y 0.3329 0.3329 0.4988
Y2 Y 0.4186 0.4186 0.2537
Y3 Y 0.5000 0.5000 0.0000
Y4 Y 0.5814 0.5814 0.7463
Y5 Y 0.6671 0.6671 0.5012
```

Properties
The calculated volume comes out at 33.72 Å³/atom. Its density of states at the Fermi level is 18.99 states/eV/cell. As for the space group: C2/m. As for the total energy: -65.520 eV per cell.


# LaSm3Y

A relaxed LaSm3Y crystal (PBE, the Alexandria database).

Cell and atoms, written as CIF:
```
data_LaSm3Y
_space_group_name_H-M_alt 'P 1'
_space_group_IT_number 1
_cell_length_a 11.3787
_cell_length_b 11.3787
_cell_length_c 8.6706
_cell_angle_alpha 105.80
_cell_angle_beta 105.80
_cell_angle_gamma 18.66
loop_
_space_group_symop_operation_xyz
'x,y,z'
loop_
_atom_site_label
_atom_site_type_symbol
_atom_site_fract_x
_atom_site_fract_y
_atom_site_fract_z
La1 La 0.0845 0.0845 0.0868
La2 La 0.9155 0.9155 0.9132
Sm1 Sm 0.1178 0.1178 0.5197
Sm2 Sm 0.3153 0.3153 0.1161
Sm3 Sm 0.4836 0.4836 0.2878
Sm4 Sm 0.5164 0.5164 0.7122
Sm5 Sm 0.6847 0.6847 0.8839
Sm6 Sm 0.8822 0.8822 0.4803
Y1 Y 0.2816 0.2816 0.6785
Y2 Y 0.7184 0.7184 0.3215
```

Properties
The calculation puts the polymorph energy (0 for the lowest one) at 0.04 eV/f.u. The calculated volume comes out at 34.52 Å³/atom. Its density of states at the Fermi level is 17.88 states/eV/cell. As for the space group: C2/m. As for the total energy: -50.808 eV per cell.


# LaSm7Y2

A relaxed LaSm7Y2 crystal (PBE, the Alexandria database).

Cell and atoms, written as CIF:
```
data_LaSm7Y2
_space_group_name_H-M_alt 'P 1'
_space_group_IT_number 1
_cell_length_a 6.2947
_cell_length_b 7.2561
_cell_length_c 8.1042
_cell_angle_alpha 77.23
_cell_angle_beta 75.06
_cell_angle_gamma 73.30
loop_
_space_group_symop_operation_xyz
'x,y,z'
loop_
_atom_site_label
_atom_site_type_symbol
_atom_site_fract_x
_atom_site_fract_y
_atom_site_fract_z
La1 La 0.0000 0.0000 0.0000
Sm1 Sm 0.0000 0.5000 0.0000
Sm2 Sm 0.1994 0.3009 0.5989
Sm3 Sm 0.4005 0.1000 0.2012
Sm4 Sm 0.4006 0.5998 0.2010
Sm5 Sm 0.5994 0.4002 0.7990
Sm6 Sm 0.5995 0.9000 0.7988
Sm7 Sm 0.8006 0.6991 0.4011
Y1 Y 0.2007 0.7997 0.5985
Y2 Y 0.7993 0.2003 0.4015
```

Properties
The calculation puts the polymorph energy (0 for the lowest one) at 0.00 eV/f.u. The calculated volume comes out at 33.82 Å³/atom. Its density of states at the Fermi level is 14.71 states/eV/cell. As for the space group: P-1. As for the total energy: -50.725 eV per cell.


# La10Sm4Y

A relaxed La10Sm4Y crystal (PBE, the Alexandria database).

Cell and atoms, written as CIF:
```
data_La10Sm4Y
_space_group_name_H-M_alt 'P 1'
_space_group_IT_number 1
_cell_length_a 9.7098
_cell_length_b 9.7098
_cell_length_c 9.7098
_cell_angle_alpha 99.62
_cell_angle_beta 99.62
_cell_angle_gamma 131.73
loop_
_space_group_symop_operation_xyz
'x,y,z'
loop_
_atom_site_label
_atom_site_type_symbol
_atom_site_fract_x
_atom_site_fract_y
_atom_site_fract_z
La1 La 0.0490 0.1497 0.6996
La2 La 0.1497 0.4501 0.1008
La3 La 0.2500 0.7500 0.5000
La4 La 0.3493 0.0490 0.8992
La5 La 0.4501 0.3493 0.3004
La6 La 0.5499 0.6507 0.6996
La7 La 0.6507 0.9510 0.1008
La8 La 0.7500 0.2500 0.5000
La9 La 0.8503 0.5499 0.8992
La10 La 0.9510 0.8503 0.3004
Sm1 Sm 0.1002 0.3001 0.4003
Sm2 Sm 0.3001 0.8998 0.2000
Sm3 Sm 0.6999 0.1002 0.8000
Sm4 Sm 0.8998 0.6999 0.5997
Y1 Y 0.5000 0.5000 0.0000
```

Properties
The calculated volume comes out at 41.56 Å³/atom. Its density of states at the Fermi level is 26.95 states/eV/cell. As for the space group: I4/m. As for the total energy: -64.941 eV per cell.


# La3Sm5Y2

A relaxed La3Sm5Y2 crystal (PBE, the Alexandria database).

Cell and atoms, written as CIF:
```
data_La3Sm5Y2
_space_group_name_H-M_alt 'P 1'
_space_group_IT_number 1
_cell_length_a 9.3247
_cell_length_b 9.3247
_cell_length_c 10.0012
_cell_angle_alpha 108.79
_cell_angle_beta 108.79
_cell_angle_gamma 107.38
loop_
_space_group_symop_operation_xyz
'x,y,z'
loop_
_atom_site_label
_atom_site_type_symbol
_atom_site_fract_x
_atom_site_fract_y
_atom_site_fract_z
La1 La 0.0240 0.2768 0.0556
La2 La 0.2240 0.7760 0.7500
La3 La 0.2768 0.0240 0.5556
La4 La 0.7232 0.9760 0.4444
La5 La 0.7760 0.2240 0.2500
La6 La 0.9760 0.7232 0.9444
Sm1 Sm 0.0154 0.9846 0.7500
Sm2 Sm 0.1434 0.3856 0.7697
Sm3 Sm 0.2676 0.7324 0.2500
Sm4 Sm 0.3856 0.1434 0.2697
Sm5 Sm 0.4726 0.5274 0.2500
Sm6 Sm 0.5274 0.4726 0.7500
Sm7 Sm 0.6144 0.8566 0.7303
Sm8 Sm 0.7324 0.2676 0.7500
Sm9 Sm 0.8566 0.6144 0.2303
Sm10 Sm 0.9846 0.0154 0.2500
Y1 Y 0.2247 0.4688 0.4506
Y2 Y 0.4688 0.2247 0.9506
Y3 Y 0.5312 0.7753 0.0494
Y4 Y 0.7753 0.5312 0.5494
```

Properties
The calculated volume comes out at 34.82 Å³/atom. Its density of states at the Fermi level is 33.36 states/eV/cell. As for the space group: C2/c. As for the total energy: -99.084 eV per cell.


The calculation returns the following formation energy values, one per record and in order: 0.64; 0.38; 0.15; 0.02; 0.03; 0.02; 0.64; 0.18 eV/atom.